Here is a relaxed Gd2DyHoIn2 crystal from the Open Quantum Materials Database. Energies are from PBE.

Computed properties:
- Total DFT energy (no corrections): -4.35 eV/atom
- SG: P-6m2 (187)
- Total magnetization: 0.8 μB per formula unit

abc: 5.4024 5.4024 6.7357
angles: 90.00 90.00 120.00
Sites, in units of the cell vectors:
1 Gd 0.0000 0.0000 0.2502
2 Gd 0.0000 0.0000 0.7498
3 Dy 0.6667 0.3333 0.0000
4 Ho 0.3333 0.6667 0.5000
5 In 0.3333 0.6667 0.0000
6 In 0.6667 0.3333 0.5000


Here is a relaxed GdDy2HoIr4 crystal from the Open Quantum Materials Database. Energies are from PBE.

Computed properties:
- Total DFT energy (no corrections): -7.54 eV/atom
- Calculated formation energy: -808 meV/atom
- SG: P4/mmm (123)
- Total magnetization: 0.0 μB per formula unit

abc: 4.8420 4.8420 6.8493
angles: 90.00 90.00 90.00
Sites, in units of the cell vectors:
1 Gd 0.0000 0.0000 0.0000
2 Dy 0.0000 0.0000 0.5000
3 Dy 0.5000 0.5000 0.0000
4 Ho 0.5000 0.5000 0.5000
5 Ir 0.0000 0.5000 0.2510
6 Ir 0.0000 0.5000 0.7490
7 Ir 0.5000 0.0000 0.2510
8 Ir 0.5000 0.0000 0.7490


Here is a relaxed Gd3Dy2HoTe2Ir crystal from the Open Quantum Materials Database. Energies are from PBE.

Computed properties:
- Total DFT energy (no corrections): -5.64 eV/atom
- SG: Amm2 (38)
- Total magnetization: 0.0 μB per formula unit

abc: 3.9987 8.3712 8.3712
angles: 119.97 90.00 90.00
Sites, in units of the cell vectors:
1 Gd 0.0000 0.0000 0.0000
2 Gd 0.0000 0.2001 0.5998
3 Gd 0.0000 0.5998 0.2001
4 Dy 0.5000 0.5998 0.8402
5 Dy 0.5000 0.8402 0.5998
6 Ho 0.5000 0.3599 0.3599
7 Te 0.5000 0.2664 0.9335
8 Te 0.5000 0.9335 0.2664
9 Ir 0.0000 0.5986 0.5986


Here is a relaxed Gd2Dy3HoNiTe2 crystal from the Open Quantum Materials Database. Energies are from PBE.

Computed properties:
- Total DFT energy (no corrections): -5.11 eV/atom
- SG: Amm2 (38)
- Total magnetization: 0.4 μB per formula unit

abc: 3.9108 8.4285 8.4285
angles: 120.27 90.00 90.00
Sites, in units of the cell vectors:
1 Gd 0.0000 0.2026 0.7974
2 Gd 0.0000 0.7974 0.2026
3 Dy 0.5000 0.0354 0.0354
4 Dy 0.5000 0.5593 0.7996
5 Dy 0.5000 0.7996 0.5593
6 Ho 0.0000 0.3992 0.3992
7 Ni 0.0000 0.7871 0.7871
8 Te 0.5000 0.1331 0.4628
9 Te 0.5000 0.4628 0.1331


Here is a relaxed GdDy2HoPd4 crystal from the Open Quantum Materials Database. Energies are from PBE.

Computed properties:
- Total DFT energy (no corrections): -5.78 eV/atom
- Calculated formation energy: -890 meV/atom
- SG: P4/mmm (123)
- Total magnetization: 0.0 μB per formula unit

abc: 4.9503 4.9503 6.9934
angles: 90.00 90.00 90.00
Sites, in units of the cell vectors:
1 Gd 0.0000 0.0000 0.0000
2 Dy 0.0000 0.0000 0.5000
3 Dy 0.5000 0.5000 0.0000
4 Ho 0.5000 0.5000 0.5000
5 Pd 0.0000 0.5000 0.2511
6 Pd 0.0000 0.5000 0.7489
7 Pd 0.5000 0.0000 0.2511
8 Pd 0.5000 0.0000 0.7489


Here is a relaxed Gd3Dy2HoTe2Pd crystal from the Open Quantum Materials Database. Energies are from PBE.

Computed properties:
- Total DFT energy (no corrections): -5.18 eV/atom
- SG: Amm2 (38)
- Total magnetization: 0.1 μB per formula unit

abc: 3.9640 8.4513 8.4513
angles: 119.94 90.00 90.00
Sites, in units of the cell vectors:
1 Gd 0.0000 0.0000 0.0000
2 Gd 0.0000 0.1920 0.5958
3 Gd 0.0000 0.5958 0.1920
4 Dy 0.5000 0.5958 0.8425
5 Dy 0.5000 0.8425 0.5958
6 Ho 0.5000 0.3496 0.3496
7 Te 0.5000 0.2623 0.9295
8 Te 0.5000 0.9295 0.2623
9 Pd 0.0000 0.5946 0.5946


Here is a relaxed GdDy2HoTl2 crystal from the Open Quantum Materials Database. Energies are from PBE.

Computed properties:
- Total DFT energy (no corrections): -4.12 eV/atom
- SG: P-6m2 (187)
- Total magnetization: 1.3 μB per formula unit

abc: 5.4061 5.4061 6.7039
angles: 90.00 90.00 120.00
Sites, in units of the cell vectors:
1 Gd 0.0000 0.0000 0.0000
2 Dy 0.6667 0.3333 0.2536
3 Dy 0.6667 0.3333 0.7464
4 Ho 0.3333 0.6667 0.5000
5 Tl 0.0000 0.0000 0.5000
6 Tl 0.3333 0.6667 0.0000


Here is a relaxed GdDyI6 crystal from the Open Quantum Materials Database. Energies are from PBE.

Computed properties:
- Total DFT energy (no corrections): -3.73 eV/atom
- SG: C2 (5)
- Total magnetization: 0.0 μB per formula unit

abc: 7.6651 7.6651 7.6642
angles: 99.37 99.37 120.07
Sites, in units of the cell vectors:
1 Gd 0.0000 0.0000 0.0000
2 Dy 0.3320 0.6680 0.0000
3 I 0.0957 0.4146 0.2423
4 I 0.2387 0.2584 0.7576
5 I 0.3934 0.0590 0.2475
6 I 0.5854 0.9043 0.7577
7 I 0.7416 0.7613 0.2424
8 I 0.9410 0.6066 0.7525


Here is a relaxed Gd2Dy2I5N crystal from the Open Quantum Materials Database. Energies are from PBE.

Computed properties:
- Total DFT energy (no corrections): -4.73 eV/atom
- SG: C2/m (12)
- Total magnetization: 0.0 μB per formula unit

abc: 9.9543 9.9543 8.5905
angles: 102.22 102.22 22.76
Sites, in units of the cell vectors:
1 Gd 0.0005 0.0005 0.3102
2 Gd 0.9995 0.9995 0.6898
3 Dy 0.3784 0.3784 0.4395
4 Dy 0.6216 0.6216 0.5605
5 I 0.1605 0.1605 0.8361
6 I 0.1631 0.1631 0.3239
7 I 0.5000 0.5000 0.0000
8 I 0.8369 0.8369 0.6761
9 I 0.8395 0.8395 0.1639
10 N 0.5000 0.5000 0.5000


Here is a relaxed GdDyI2O2 crystal from the Open Quantum Materials Database. Energies are from PBE.

Computed properties:
- Total DFT energy (no corrections): -6.43 eV/atom
- SG: P4mm (99)
- Total magnetization: 0.0 μB per formula unit

abc: 3.9456 3.9456 9.2869
angles: 90.00 90.00 90.00
Sites, in units of the cell vectors:
1 Gd 0.0000 0.0000 0.0000
2 Dy 0.5000 0.5000 0.7618
3 I 0.0000 0.0000 0.5579
4 I 0.5000 0.5000 0.2040
5 O 0.0000 0.5000 0.8785
6 O 0.5000 0.0000 0.8785


Here is a relaxed GdDyPI2 crystal from the Open Quantum Materials Database. Energies are from PBE.

Computed properties:
- Total DFT energy (no corrections): -5.08 eV/atom
- SG: P3m1 (156)
- Total magnetization: 0.0 μB per formula unit

abc: 4.1166 4.1166 10.8590
angles: 90.00 90.00 120.00
Sites, in units of the cell vectors:
1 Gd 0.0000 0.0000 0.0000
2 Dy 0.3333 0.6667 0.2754
3 P 0.6667 0.3333 0.1400
4 I 0.0000 0.0000 0.4638
5 I 0.3333 0.6667 0.8089


Here is a relaxed GdDyS2I2 crystal from the Open Quantum Materials Database. Energies are from PBE.

Computed properties:
- Total DFT energy (no corrections): -5.25 eV/atom
- SG: Pmm2 (25)
- Total magnetization: 0.0 μB per formula unit

abc: 4.2110 5.3790 9.6466
angles: 90.00 90.00 90.00
Sites, in units of the cell vectors:
1 Gd 0.0000 0.0000 0.0000
2 Dy 0.5000 0.5000 0.7611
3 S 0.0000 0.5000 0.9429
4 S 0.5000 0.0000 0.8134
5 I 0.0000 0.5000 0.5316
6 I 0.5000 0.0000 0.2328


Here is a relaxed GdDySbI2 crystal from the Open Quantum Materials Database. Energies are from PBE.

Computed properties:
- Total DFT energy (no corrections): -4.57 eV/atom
- SG: P3m1 (156)
- Total magnetization: 0.0 μB per formula unit

abc: 4.3473 4.3473 11.2323
angles: 90.00 90.00 120.00
Sites, in units of the cell vectors:
1 Gd 0.0000 0.0000 0.0000
2 Dy 0.3333 0.6667 0.3016
3 Sb 0.6667 0.3333 0.1531
4 I 0.0000 0.0000 0.4750
5 I 0.3333 0.6667 0.8256


Here is a relaxed GdDySe2I2 crystal from the Open Quantum Materials Database. Energies are from PBE.

Computed properties:
- Total DFT energy (no corrections): -4.91 eV/atom
- SG: Pmm2 (25)
- Total magnetization: 0.0 μB per formula unit

abc: 4.2505 5.6658 9.6518
angles: 90.00 90.00 90.00
Sites, in units of the cell vectors:
1 Gd 0.0000 0.0000 0.0000
2 Dy 0.5000 0.5000 0.7571
3 Se 0.0000 0.5000 0.9571
4 Se 0.5000 0.0000 0.7962
5 I 0.0000 0.5000 0.5303
6 I 0.5000 0.0000 0.2299


Here is a relaxed Gd2Dy2SiI5 crystal from the Open Quantum Materials Database. Energies are from PBE.

Computed properties:
- Total DFT energy (no corrections): -4.35 eV/atom
- Energy above the most stable polymorph in this dataset: 2 meV per atom
- SG: C2/m (12)
- Total magnetization: 0.0 μB per formula unit

abc: 9.8006 9.8006 8.8003
angles: 102.58 102.58 24.76
Sites, in units of the cell vectors:
1 Gd 0.1463 0.1463 0.0742
2 Gd 0.8537 0.8537 0.9258
3 Dy 0.5003 0.5003 0.2092
4 Dy 0.4997 0.4997 0.7907
5 Si 0.0000 0.0000 0.0000
6 I 0.0000 0.0000 0.5000
7 I 0.3297 0.3297 0.1748
8 I 0.3341 0.3341 0.6603
9 I 0.6659 0.6659 0.3397
10 I 0.6703 0.6703 0.8252


Here is a relaxed Gd2Dy2SiI5 crystal from the Open Quantum Materials Database. Energies are from PBE.

Computed properties:
- Total DFT energy (no corrections): -4.35 eV/atom
- Energy above the most stable polymorph in this dataset: 0 meV per atom
- SG: C2/m (12)
- Total magnetization: 0.0 μB per formula unit

abc: 9.8206 9.8206 8.8248
angles: 102.52 102.52 24.73
Sites, in units of the cell vectors:
1 Gd 0.0000 0.0000 0.2116
2 Gd 0.0000 0.0000 0.7884
3 Dy 0.3554 0.3554 0.9264
4 Dy 0.6446 0.6446 0.0736
5 Si 0.5000 0.5000 0.0000
6 I 0.1678 0.1678 0.3355
7 I 0.1722 0.1722 0.8317
8 I 0.5000 0.5000 0.5000
9 I 0.8278 0.8278 0.1683
10 I 0.8322 0.8322 0.6645


Here is a relaxed Gd2Dy2In crystal from the Open Quantum Materials Database. Energies are from PBE.

Computed properties:
- Total DFT energy (no corrections): -4.26 eV/atom
- SG: P4/mbm (127)
- Total magnetization: 0.0 μB per formula unit

abc: 8.1953 8.1953 4.5923
angles: 90.00 90.00 90.00
Sites, in units of the cell vectors:
1 Gd 0.1530 0.3470 0.0000
2 Gd 0.3470 0.8470 0.0000
3 Gd 0.6530 0.1530 0.0000
4 Gd 0.8470 0.6530 0.0000
5 Dy 0.1483 0.6483 0.5000
6 Dy 0.3517 0.1483 0.5000
7 Dy 0.6483 0.8517 0.5000
8 Dy 0.8517 0.3517 0.5000
9 In 0.0000 0.0000 0.5000
10 In 0.5000 0.5000 0.5000


Here is a relaxed GdDyIn2Ir4 crystal from the Open Quantum Materials Database. Energies are from PBE.

Computed properties:
- Total DFT energy (no corrections): -6.69 eV/atom
- SG: P-6m2 (187)
- Total magnetization: 0.0 μB per formula unit

abc: 4.5761 4.5761 8.9091
angles: 90.00 90.00 120.00
Sites, in units of the cell vectors:
1 Gd 0.0000 0.0000 0.0000
2 Dy 0.6667 0.3333 0.5000
3 In 0.3333 0.6667 0.2504
4 In 0.3333 0.6667 0.7496
5 Ir 0.0000 0.0000 0.3564
6 Ir 0.0000 0.0000 0.6436
7 Ir 0.6667 0.3333 0.1465
8 Ir 0.6667 0.3333 0.8535


Here is a relaxed GdDy2In3Ir2Pd crystal from the Open Quantum Materials Database. Energies are from PBE.

Computed properties:
- Total DFT energy (no corrections): -5.75 eV/atom
- SG: Amm2 (38)
- Total magnetization: 0.0 μB per formula unit

abc: 3.8891 7.6239 7.6239
angles: 120.16 90.00 90.00
Sites, in units of the cell vectors:
1 Gd 0.0000 0.0000 0.0000
2 Dy 0.0000 0.4111 0.8208
3 Dy 0.0000 0.8208 0.4111
4 In 0.5000 0.1507 0.4117
5 In 0.5000 0.4117 0.1507
6 In 0.5000 0.6699 0.6699
7 Ir 0.5000 0.0776 0.7426
8 Ir 0.5000 0.7426 0.0776
9 Pd 0.0000 0.4112 0.4112


Here is a relaxed GdDy2LuIn2 crystal from the Open Quantum Materials Database. Energies are from PBE.

Computed properties:
- Total DFT energy (no corrections): -4.32 eV/atom
- SG: P-6m2 (187)
- Total magnetization: 0.8 μB per formula unit

abc: 5.3704 5.3704 6.7246
angles: 90.00 90.00 120.00
Sites, in units of the cell vectors:
1 Gd 0.0000 0.0000 0.0000
2 Dy 0.6667 0.3333 0.2551
3 Dy 0.6667 0.3333 0.7449
4 Lu 0.3333 0.6667 0.5000
5 In 0.0000 0.0000 0.5000
6 In 0.3333 0.6667 0.0000